Record 1
Below is a geometry-optimized In3TcSb structure, with properties calculated at the PBE-GGA level.

The calculation puts the raw formation energy at 0.5269 eV/atom. The value obtained for the polymorph energy (0 for the lowest one) is 0 meV/atom. The volume is 145 Å³/cell. The calculation puts the density at 6.45 Mg/m³.

abc: 5.257 5.257 5.257
angles: 90.00 90.00 90.00
Site moments in Bohr magnetons follow the coordinates.
Element x y z (fractional)
Tc (0.000, 0.000, 0.000)  1.23
In (0.500, 0.000, 0.000)  0.01
In (0.000, 0.000, 0.500)  -0.02
Sb (0.500, 0.500, 0.500)  0.48
In (0.000, 0.500, 0.000)  -0.01

---

Record 2
Below is a geometry-optimized LaBeNi2 structure, with properties calculated at the PBE-GGA level.

The formation energy from the elements comes out at -0.449 eV per formula unit. The volume is 147 Å³/cell. The calculation puts the density at 5.98 Mg/m³.

abc: 4.517 4.517 7.900
angles: 73.39 73.39 90.00
Element x y z (fractional)
Ni (0.409, 0.125, 0.250)
Ni (0.341, 0.625, 0.250)
Be (0.250, 0.750, 0.500)
Ni (0.875, 0.659, 0.750)
La (0.750, 0.250, 0.500)
Be (0.500, 0.500, 0.000)
Ni (0.375, 0.591, 0.750)
La (0.000, 0.000, 0.000)

---

Record 3
Below is a geometry-optimized ScSi3Ir structure, with properties calculated at the PBE-GGA level.

The calculation puts the raw formation energy at 0.3464 eV/atom. The value obtained for the polymorph energy (0 for the lowest one) is 0 meV/atom. The volume is 102 Å³/cell. The calculation puts the density at 5.22 Mg/m³.

abc: 4.675 4.675 4.675
angles: 90.00 90.00 90.00
Element x y z (fractional)
Si (0.000, 0.500, 0.000)
Si (0.000, 0.000, 0.500)
Ir (0.000, 0.000, 0.000)
Sc (0.500, 0.500, 0.500)
Si (0.500, 0.000, 0.000)

---

Record 4
Below is a geometry-optimized Tb4MgSc2 structure, with properties calculated at the PBE-GGA level.

The formation energy from the elements comes out at 0.797 eV per formula unit. The value obtained for the polymorph energy (0 for the lowest one) is 0 meV/atom. The volume is 405 Å³/cell. The calculation puts the density at 6.15 Mg/m³.

abc: 5.455 6.664 11.474
angles: 90.00 103.80 90.00
Element x y z (fractional)
Sc (0.784, 0.750, 0.575)
Tb (0.061, 0.250, 0.135)
Mg (0.917, 0.250, 0.846)
Sc (0.216, 0.250, 0.425)
Tb (0.211, 0.750, 0.431)
Mg (0.083, 0.750, 0.154)
Tb (0.357, 0.992, 0.710)
Sc (0.485, 0.250, 0.986)
Sc (0.515, 0.750, 0.014)
Tb (0.789, 0.250, 0.569)
Tb (0.357, 0.508, 0.710)
Tb (0.939, 0.750, 0.865)
Tb (0.643, 0.008, 0.290)
Tb (0.643, 0.492, 0.290)

---

Record 5
Below is a geometry-optimized MoPH2 structure, with properties calculated at the PBE-GGA level.

The value obtained for the polymorph energy (0 for the lowest one) is 0 meV/atom. The volume is 78 Å³/cell. The calculation puts the density at 5.50 Mg/m³.

abc: 4.525 4.525 4.969
angles: 62.91 62.91 90.00
Element x y z (fractional)
H (0.375, 0.343, 0.750)
H (0.093, 0.625, 0.250)
H (0.875, 0.907, 0.750)
Mo (0.750, 0.250, 0.500)
H (0.657, 0.125, 0.250)
P (0.250, 0.750, 0.500)
P (0.500, 0.500, 0.000)
Mo (0.000, 0.000, 0.000)

---

Record 6
Below is a geometry-optimized GdMgIr structure, with properties calculated at the PBE-GGA level.

The formation energy from the elements comes out at -1.492 eV per formula unit. The volume is 71 Å³/cell. The calculation puts the density at 8.69 Mg/m³.

abc: 4.657 4.657 4.657
angles: 60.00 60.00 60.00
Site moments in Bohr magnetons follow the coordinates.
Element x y z (fractional)
Gd (0.000, 0.000, 0.000)  7.01
Ir (0.250, 0.250, 0.250)  -0.02
Mg (0.500, 0.500, 0.500)  0.00